VASP calculation (GGA-PBE) on CdTe2Os after structural relaxation.

Cell and atoms, written as extended XYZ:
```
4
Lattice="1.787 0.000 11.917 -0.893 1.547 11.917 -0.893 -1.547 11.917" Properties=species:S:1:pos:R:3 pbc="T T T"
Cd 0.000 0.000 17.876
Te 0.000 0.000 2.560
Te 0.000 0.000 33.192
Os 0.000 0.000 0.000
```

Results
- E_form (uncorrected) (meV/atom) = 633
- E (eV per atom) = -3.97
- DOS(E_F) (states/eV/atom) = 0.735
- symmetry = R-3m